Below is a relaxed structure of LiLuScCr, with properties calculated at the PBE-GGA level.

Structure (POSCAR):
```
LiLuScCr
1.0
4.8746 0.0000 0.0000
2.4373 4.2215 0.0000
2.4373 1.4072 3.9801
Sc Cr Lu Li
1 1 1 1
Cartesian
7.3118 4.2215 2.9850
0.0000 0.0000 0.0000
2.4373 1.4072 0.9950
4.8746 2.8143 1.9900
```

Results
- space-group type = F-43m
- electronic total energy (eV/atom) = -5.424
- M_tot (μB/cell) = 3.27


Below is a relaxed structure of LiSmLuCr, with properties calculated at the PBE-GGA level.

Structure (POSCAR):
```
LiSmLuCr
1.0
-0.7283 3.8387 3.2425
1.3900 -0.4832 4.8595
3.9753 2.6125 1.7753
Cr Lu Sm Li
1 1 1 1
Cartesian
0.0000 0.0000 0.0000
3.4777 4.4760 7.4079
1.1592 1.4920 2.4693
2.3185 2.9840 4.9386
```

Results
- space-group type = F-43m
- electronic total energy (eV/atom) = -5.012
- M_tot (μB/cell) = 3.12


Below is a relaxed structure of LiTmLuCr, with properties calculated at the PBE-GGA level.

Structure (POSCAR):
```
LiTmLuCr
1.0
4.9906 0.0000 0.0000
2.4953 4.3220 0.0000
2.4953 1.4407 4.0748
Cr Lu Tm Li
1 1 1 1
Cartesian
0.0000 0.0000 0.0000
7.4859 4.3220 3.0561
2.4953 1.4407 1.0187
4.9906 2.8813 2.0374
```

Results
- space-group type = F-43m
- electronic total energy (eV/atom) = -4.977
- M_tot (μB/cell) = 3.31


Below is a relaxed structure of LiYLuCr, with properties calculated at the PBE-GGA level.

Structure (POSCAR):
```
LiYLuCr
1.0
-1.9175 1.2128 4.4981
-4.9897 -0.0037 0.6952
-2.1415 -3.5478 2.8649
Y Cr Lu Li
1 1 1 1
Cartesian
-6.7866 -1.7541 6.0437
0.0000 0.0000 0.0000
-2.2622 -0.5847 2.0146
-4.5244 -1.1694 4.0291
```

Results
- space-group type = F-43m
- electronic total energy (eV/atom) = -5.464
- M_tot (μB/cell) = 3.26


Below is a relaxed structure of LiLuZrCr, with properties calculated at the PBE-GGA level.

Structure (POSCAR):
```
LiLuZrCr
1.0
4.8159 0.0000 0.0000
2.4080 4.1707 0.0000
2.4080 1.3902 3.9322
Cr Lu Zr Li
1 1 1 1
Cartesian
2.4080 1.3902 0.9830
4.8159 2.7805 1.9661
0.0000 0.0000 0.0000
7.2239 4.1707 2.9491
```

Results
- space-group type = F-43m
- electronic total energy (eV/atom) = -5.943
- M_tot (μB/cell) = 2.54


Below is a relaxed structure of LiMgCr, with properties calculated at the PBE-GGA level.

Structure (POSCAR):
```
LiMgCr
1.0
7.4394 -0.0110 0.0085
6.8381 2.5421 -0.0087
0.6013 -0.6733 2.4628
Cr Li Mg
1 1 1
Cartesian
14.2687 2.5290 0.0014
5.2703 0.4207 1.6219
9.6175 1.4392 0.8390
```

Results
- space-group type = Fmm2
- electronic total energy (eV/atom) = -3.871
- M_tot (μB/cell) = 0.76


Below is a relaxed structure of Li2MgCr, with properties calculated at the PBE-GGA level.

Structure (POSCAR):
```
Li2MgCr
1.0
-0.1907 -2.7908 3.8674
3.2676 0.4718 3.4470
-1.2350 1.8530 4.2217
Cr Li Mg
1 2 1
Cartesian
0.9210 -0.2330 5.7680
0.0000 0.0000 0.0000
1.3815 -0.3495 8.6520
0.4605 -0.1165 2.8840
```

Results
- space-group type = F-43m
- electronic total energy (eV/atom) = -3.434
- M_tot (μB/cell) = 4.62


Below is a relaxed structure of Li4MgCr, with properties calculated at the PBE-GGA level.

Structure (POSCAR):
```
Li4MgCr
1.0
0.0000 3.7896 3.7896
3.7896 0.0000 3.7896
3.7896 3.7896 0.0000
Li Mg Cr
4 1 1
Cartesian
2.8359 4.7432 4.7432
4.7432 4.7432 2.8359
4.7432 2.8359 4.7432
2.8359 2.8359 2.8359
5.6843 5.6843 5.6843
0.0000 0.0000 0.0000
```

Results
- space-group type = F-43m
- electronic total energy (eV/atom) = -2.898
- M_tot (μB/cell) = 4.39


Below is a relaxed structure of Li3MgCr, with properties calculated at the PBE-GGA level.

Structure (POSCAR):
```
Li3MgCr
1.0
-4.8117 0.8959 -0.5404
-0.3623 -3.8127 -3.0950
-0.9816 -2.9845 3.7916
Cr Mg Li
1 1 3
Cartesian
0.0000 0.0000 0.0000
-3.0778 -2.9507 0.0781
-0.1811 -1.9064 -1.5475
-0.4908 -1.4923 1.8958
-2.4058 0.4480 -0.2702
```

Results
- space-group type = Pm-3m
- electronic total energy (eV/atom) = -2.692
- M_tot (μB/cell) = 4.81


Below is a relaxed structure of Li2MgCr, with properties calculated at the PBE-GGA level.

Structure (POSCAR):
```
Li2MgCr
1.0
-2.2729 1.2290 0.4749
-1.3175 -2.1177 -0.8254
-0.0118 -3.3871 8.7092
Cr Li Mg
1 2 1
Cartesian
-1.8041 -2.9827 6.3513
-0.0116 -3.3226 8.5433
-1.7981 -1.2880 1.9939
-0.0062 -1.7633 4.5338
```

Results
- space-group type = P4mm
- electronic total energy (eV/atom) = -3.351
- M_tot (μB/cell) = 0.00


Below is a relaxed structure of Li2MgCr, with properties calculated at the PBE-GGA level.

Structure (POSCAR):
```
Li2MgCr
1.0
-2.2631 3.2457 -3.8375
-3.2971 -2.4430 -3.6801
0.8495 1.0575 5.3425
Cr Li Mg
1 2 1
Cartesian
-2.5656 -0.4990 -0.9830
-5.5203 0.7969 -7.4637
-2.1564 2.3609 -1.2074
-2.8087 0.4055 -3.7975
```

Results
- space-group type = Imm2
- electronic total energy (eV/atom) = -3.446
- M_tot (μB/cell) = 4.46


Below is a relaxed structure of Li2MgCr, with properties calculated at the PBE-GGA level.

Structure (POSCAR):
```
Li2MgCr
1.0
4.4813 0.0000 0.0000
0.0000 2.9842 0.1231
0.0000 1.4012 5.7132
Cr Li Mg
1 2 1
Cartesian
2.2406 3.4271 4.3779
0.0000 1.4827 5.7116
2.2406 0.9486 1.4094
0.0000 2.1209 2.9688
```

Results
- space-group type = Pm
- electronic total energy (eV/atom) = -3.440
- M_tot (μB/cell) = 4.30


Below is a relaxed structure of Li2MgCr, with properties calculated at the PBE-GGA level.

Structure (POSCAR):
```
Li2MgCr
1.0
-1.3178 2.5772 -1.2073
1.5540 -1.2913 -4.4527
-4.1897 -2.4892 -0.7403
Cr Li Mg
1 2 1
Cartesian
-1.3178 -1.8902 -2.5965
0.0000 0.0000 0.0000
0.1181 0.6430 -2.8300
-2.7537 0.0440 -0.9738
```

Results
- space-group type = Pmmm
- electronic total energy (eV/atom) = -3.447
- M_tot (μB/cell) = 4.27


Below is a relaxed structure of Li2MgCr, with properties calculated at the PBE-GGA level.

Structure (POSCAR):
```
Li2MgCr
1.0
-0.6014 -0.6310 -2.4257
-1.1230 -2.1624 0.8409
-8.2416 4.6086 0.8445
Cr Li Mg
1 2 1
Cartesian
-7.0434 2.0598 -0.1591
-8.0854 4.5213 0.8284
-4.2769 2.3916 0.4382
-2.9226 -0.2445 -0.5813
```

Results
- space-group type = P4/mmm
- electronic total energy (eV/atom) = -3.283
- M_tot (μB/cell) = 0.58


Below is a relaxed structure of Li2MgCr, with properties calculated at the PBE-GGA level.

Structure (POSCAR):
```
Li2MgCr
1.0
-1.0776 -0.4703 5.0605
4.3657 0.0853 2.8150
-1.8496 3.1336 -3.7082
Cr Li Mg
1 2 1
Cartesian
-0.6416 1.2354 2.6450
0.0000 0.0000 0.0000
1.6441 -0.1925 3.9377
2.0801 1.5132 1.5223
```

Results
- space-group type = I4/mmm
- electronic total energy (eV/atom) = -3.438
- M_tot (μB/cell) = 4.18


Below is a relaxed structure of Li2MgCr, with properties calculated at the PBE-GGA level.

Structure (POSCAR):
```
Li2MgCr
1.0
5.0623 0.0645 0.0000
-1.5919 4.8059 0.0000
0.0000 0.0000 3.0740
Cr Li Mg
1 2 1
Cartesian
-0.7960 2.4029 1.5370
0.0000 0.0000 0.0000
1.7352 2.4352 0.0000
2.5311 0.0322 1.5370
```

Results
- space-group type = Cmmm
- electronic total energy (eV/atom) = -3.420
- M_tot (μB/cell) = 4.48


Below is a relaxed structure of LiMgCr, with properties calculated at the PBE-GGA level.

Structure (POSCAR):
```
LiMgCr
1.0
4.5212 0.0000 0.0000
2.2606 3.9154 0.0000
2.2606 1.3051 3.6915
Cr Li Mg
1 1 1
Cartesian
4.5212 2.6103 1.8458
6.7818 3.9154 2.7686
0.0000 0.0000 0.0000
```

Results
- space-group type = F-43m
- electronic total energy (eV/atom) = -3.625
- M_tot (μB/cell) = 4.61


Below is a relaxed structure of LiMgCr, with properties calculated at the PBE-GGA level.

Structure (POSCAR):
```
LiMgCr
1.0
-2.5855 -6.5816 -1.0155
1.0415 -7.0308 -0.7182
0.5973 6.5951 2.6796
Cr Li Mg
1 1 1
Cartesian
-0.0003 -0.0029 -0.0004
-0.5286 -4.6604 -0.5936
-1.0150 -8.9491 -1.1398
```

Results
- space-group type = I4mm
- electronic total energy (eV/atom) = -3.858
- M_tot (μB/cell) = 0.00


Below is a relaxed structure of Li2MgCr, with properties calculated at the PBE-GGA level.

Structure (POSCAR):
```
Li2MgCr
1.0
5.2778 -0.0095 0.0956
4.3834 2.9395 0.0956
1.0742 0.3258 4.8600
Cr Li Mg
1 2 1
Cartesian
2.6839 0.8139 1.2628
9.6442 2.9248 0.2357
5.3848 1.6330 2.4812
8.0516 2.4418 3.7885
```

Results
- space-group type = C2/m
- electronic total energy (eV/atom) = -3.459
- M_tot (μB/cell) = 4.17


Below is a relaxed structure of Li2MgCr, with properties calculated at the PBE-GGA level.

Structure (POSCAR):
```
Li2MgCr
1.0
-1.1299 1.9508 -2.0547
-3.7859 -0.5443 1.5652
0.9248 4.5639 3.8244
Cr Li Mg
1 2 1
Cartesian
-1.7637 4.1289 2.6258
0.9196 4.5379 3.8025
-2.2316 1.8202 0.6912
0.4720 2.3292 1.9518
```

Results
- space-group type = Pmm2
- electronic total energy (eV/atom) = -3.441
- M_tot (μB/cell) = 4.22